An optimized crystal structure of SrHo2Te, computed with PBE.

ρ	6.04	g/cm³
energy relative to the elements, uncorrected	-0.2905	eV per atom

Unit cell a=11.321 b=11.321 c=11.321 alpha=20.09 beta=20.09 gamma=20.09
Fractional positions:
1 Sr 0.000 0.000 0.000
2 Ho 0.108 0.108 0.108
3 Ho 0.892 0.892 0.892
4 Te 0.500 0.500 0.500

***

An optimized crystal structure of Sr4HoTe5, computed with PBE.

ρ	5.40	g/cm³
energy relative to the elements, uncorrected	-1.6122	eV per atom

Unit cell a=8.047 b=8.047 c=8.047 alpha=99.61 beta=99.61 gamma=131.78
Fractional positions:
1 Sr 0.095 0.699 0.794
2 Sr 0.301 0.095 0.396
3 Sr 0.699 0.905 0.604
4 Sr 0.905 0.301 0.206
5 Ho 0.500 0.500 0.000
6 Te 0.000 0.000 0.000
7 Te 0.214 0.404 0.618
8 Te 0.404 0.786 0.189
9 Te 0.596 0.214 0.811
10 Te 0.786 0.596 0.382

***

An optimized crystal structure of Sr2Ho3Te6, computed with PBE.

ρ	6.16	g/cm³
energy relative to the elements, uncorrected	-1.5096	eV per atom

Unit cell a=7.645 b=7.645 c=8.063 alpha=99.14 beta=99.14 gamma=120.01
Fractional positions:
1 Sr 0.166 0.834 0.000
2 Sr 0.834 0.166 0.000
3 Ho 0.000 0.000 0.500
4 Ho 0.332 0.668 0.500
5 Ho 0.668 0.332 0.500
6 Te 0.082 0.410 0.730
7 Te 0.261 0.261 0.272
8 Te 0.410 0.082 0.730
9 Te 0.590 0.918 0.270
10 Te 0.739 0.739 0.728
11 Te 0.918 0.590 0.270

***

An optimized crystal structure of Sr3HoTe4, computed with PBE.

ρ	5.57	g/cm³
energy relative to the elements, uncorrected	-1.5901	eV per atom

Unit cell a=8.022 b=8.022 c=4.601 alpha=90.00 beta=90.00 gamma=109.19
Fractional positions:
1 Sr 0.000 0.000 0.000
2 Sr 0.000 0.500 0.500
3 Sr 0.500 0.000 0.500
4 Ho 0.500 0.500 0.000
5 Te 0.259 0.741 0.000
6 Te 0.266 0.266 0.500
7 Te 0.734 0.734 0.500
8 Te 0.741 0.259 0.000

***

An optimized crystal structure of SrHo2Tl3Te6, computed with PBE.

ρ	6.95	g/cm³
energy relative to the elements, uncorrected	-0.9939	eV per atom

Unit cell a=7.896 b=7.896 c=8.377 alpha=99.12 beta=99.12 gamma=120.02
Fractional positions:
1 Sr 0.000 0.000 0.000
2 Ho 0.331 0.669 0.000
3 Ho 0.669 0.331 0.000
4 Tl 0.160 0.840 0.500
5 Tl 0.500 0.500 0.500
6 Tl 0.840 0.160 0.500
7 Te 0.075 0.430 0.223
8 Te 0.284 0.284 0.785
9 Te 0.430 0.075 0.223
10 Te 0.570 0.925 0.777
11 Te 0.716 0.716 0.215
12 Te 0.925 0.570 0.777

***

An optimized crystal structure of Sr3Y2HoTe6, computed with PBE.

ρ	5.78	g/cm³
energy relative to the elements, uncorrected	-1.4968	eV per atom

Unit cell a=7.768 b=7.768 c=7.968 alpha=99.37 beta=99.37 gamma=119.93
Fractional positions:
1 Sr 0.000 0.000 0.000
2 Sr 0.333 0.667 0.000
3 Sr 0.667 0.333 0.000
4 Y 0.166 0.834 0.500
5 Y 0.834 0.166 0.500
6 Ho 0.500 0.500 0.500
7 Te 0.092 0.423 0.269
8 Te 0.246 0.246 0.731
9 Te 0.423 0.092 0.269
10 Te 0.577 0.908 0.731
11 Te 0.754 0.754 0.269
12 Te 0.908 0.577 0.731

***

An optimized crystal structure of Sr3Y3HoTe8, computed with PBE.

ρ	5.46	g/cm³
energy relative to the elements, uncorrected	-1.5250	eV per atom

Unit cell a=9.194 b=9.194 c=9.194 alpha=57.78 beta=57.78 gamma=57.78
Fractional positions:
1 Sr 0.000 0.500 0.500
2 Sr 0.500 0.000 0.500
3 Sr 0.500 0.500 0.000
4 Y 0.000 0.000 0.500
5 Y 0.000 0.500 0.000
6 Y 0.500 0.000 0.000
7 Ho 0.500 0.500 0.500
8 Te 0.241 0.745 0.745
9 Te 0.244 0.244 0.244
10 Te 0.255 0.255 0.759
11 Te 0.255 0.759 0.255
12 Te 0.745 0.241 0.745
13 Te 0.745 0.745 0.241
14 Te 0.756 0.756 0.756
15 Te 0.759 0.255 0.255

***

An optimized crystal structure of Sr3YHo2Te6, computed with PBE.

ρ	6.12	g/cm³
energy relative to the elements, uncorrected	-1.4856	eV per atom

Unit cell a=7.760 b=7.760 c=7.959 alpha=99.37 beta=99.37 gamma=119.94
Fractional positions:
1 Sr 0.000 0.000 0.000
2 Sr 0.334 0.666 0.000
3 Sr 0.666 0.334 0.000
4 Y 0.500 0.500 0.500
5 Ho 0.167 0.833 0.500
6 Ho 0.833 0.167 0.500
7 Te 0.088 0.423 0.270
8 Te 0.242 0.242 0.730
9 Te 0.423 0.088 0.270
10 Te 0.577 0.912 0.730
11 Te 0.758 0.758 0.270
12 Te 0.912 0.577 0.730

***

An optimized crystal structure of SrHo2Th, computed with PBE.

ρ	7.54	g/cm³
E_form	0.0963	eV per atom
E above lowest polymorph	0.0	kJ per mole of atoms

Unit cell a=3.680 b=3.680 c=10.565 alpha=90.00 beta=90.00 gamma=90.00
Fractional positions:
1 Sr 0.000 0.000 0.000
2 Ho 0.500 0.500 0.284
3 Ho 0.500 0.500 0.716
4 Th 0.000 0.000 0.500

***

An optimized crystal structure of SrHo2Th, computed with PBE.

ρ	7.57	g/cm³
E_form	0.1991	eV per atom
E above lowest polymorph	9.9	kJ per mole of atoms

Unit cell a=12.790 b=12.790 c=12.790 alpha=16.23 beta=16.23 gamma=16.23
Fractional positions:
1 Sr 0.000 0.000 0.000
2 Ho 0.094 0.094 0.094
3 Ho 0.906 0.906 0.906
4 Th 0.500 0.500 0.500

***

An optimized crystal structure of SrHoTh, computed with PBE.

ρ	7.21	g/cm³
E_form	0.1793	eV per atom

Unit cell a=8.823 b=8.823 c=8.823 alpha=156.22 beta=156.22 gamma=33.88
Fractional positions:
1 Sr 0.000 0.000 0.000
2 Ho 0.317 0.317 0.000
3 Th 0.680 0.680 0.000

***

An optimized crystal structure of SrHoTl2, computed with PBE.

ρ	9.05	g/cm³
E_form	-0.3747	eV per atom

Unit cell a=3.904 b=3.904 c=7.961 alpha=90.00 beta=90.00 gamma=90.00
Fractional positions:
1 Sr 0.000 0.000 0.000
2 Ho 0.000 0.000 0.500
3 Tl 0.500 0.500 0.274
4 Tl 0.500 0.500 0.726

***

An optimized crystal structure of SrHo2Tl3, computed with PBE.

ρ	9.74	g/cm³
E_form	-0.3567	eV per atom

Unit cell a=3.860 b=3.860 c=11.796 alpha=90.00 beta=90.00 gamma=90.00
Fractional positions:
1 Sr 0.000 0.000 0.000
2 Ho 0.000 0.000 0.342
3 Ho 0.000 0.000 0.658
4 Tl 0.500 0.500 0.189
5 Tl 0.500 0.500 0.500
6 Tl 0.500 0.500 0.811

***

An optimized crystal structure of SrHoTl4, computed with PBE.

ρ	9.76	g/cm³
E_form	-0.0892	eV per atom
E above lowest polymorph	15.0	kJ per mole of atoms

Unit cell a=6.362 b=6.362 c=6.362 alpha=60.00 beta=60.00 gamma=60.00
Fractional positions:
1 Sr 0.000 0.000 0.000
2 Ho 0.250 0.250 0.250
3 Tl 0.126 0.625 0.625
4 Tl 0.625 0.126 0.625
5 Tl 0.625 0.625 0.126
6 Tl 0.625 0.625 0.625

***

An optimized crystal structure of SrHoTl2, computed with PBE.

ρ	8.39	g/cm³
E_form	-0.2052	eV per atom

Unit cell a=10.261 b=10.261 c=10.261 alpha=21.83 beta=21.83 gamma=21.83
Fractional positions:
1 Sr 0.000 0.000 0.000
2 Ho 0.832 0.832 0.832
3 Tl 0.245 0.245 0.245
4 Tl 0.421 0.421 0.421

***

An optimized crystal structure of SrHoTl4, computed with PBE.

ρ	9.63	g/cm³
E_form	-0.2449	eV per atom
E above lowest polymorph	0.0	kJ per mole of atoms

Unit cell a=5.045 b=5.095 c=8.216 alpha=89.12 beta=89.55 gamma=60.95
Fractional positions:
1 Sr 0.000 0.000 0.000
2 Ho 0.000 0.000 0.500
3 Tl 0.333 0.333 0.656
4 Tl 0.334 0.333 0.216
5 Tl 0.666 0.667 0.784
6 Tl 0.667 0.667 0.344

***

An optimized crystal structure of Sr3HoTl4, computed with PBE.

ρ	8.00	g/cm³
E_form	-0.3934	eV per atom

Unit cell a=3.982 b=3.982 c=16.300 alpha=90.00 beta=90.00 gamma=90.00
Fractional positions:
1 Sr 0.000 0.000 0.000
2 Sr 0.000 0.000 0.259
3 Sr 0.000 0.000 0.741
4 Ho 0.000 0.000 0.500
5 Tl 0.500 0.500 0.128
6 Tl 0.500 0.500 0.392
7 Tl 0.500 0.500 0.608
8 Tl 0.500 0.500 0.872

***

An optimized crystal structure of SrHo3Tl4, computed with PBE.

ρ	10.15	g/cm³
E_form	-0.3165	eV per atom

Unit cell a=10.951 b=7.643 c=5.474 alpha=90.00 beta=90.00 gamma=90.00
Fractional positions:
1 Sr 0.000 0.000 0.000
2 Sr 0.500 0.000 0.000
3 Ho 0.000 0.500 0.000
4 Ho 0.250 0.000 0.499
5 Ho 0.250 0.500 0.498
6 Ho 0.500 0.500 0.000
7 Ho 0.750 0.000 0.501
8 Ho 0.750 0.500 0.502
9 Tl 0.000 0.260 0.500
10 Tl 0.000 0.740 0.500
11 Tl 0.250 0.260 0.998
12 Tl 0.250 0.740 0.998
13 Tl 0.500 0.260 0.500
14 Tl 0.500 0.740 0.500
15 Tl 0.750 0.260 0.002
16 Tl 0.750 0.740 0.002

***

An optimized crystal structure of SrHo4Tl4, computed with PBE.

ρ	8.30	g/cm³
E_form	-0.1229	eV per atom

Unit cell a=10.097 b=10.097 c=6.145 alpha=90.00 beta=90.00 gamma=90.00
Fractional positions:
1 Sr 0.250 0.250 0.250
2 Sr 0.750 0.750 0.750
3 Ho 0.101 0.644 0.148
4 Ho 0.144 0.899 0.648
5 Ho 0.356 0.601 0.648
6 Ho 0.399 0.856 0.148
7 Ho 0.601 0.144 0.852
8 Ho 0.644 0.399 0.352
9 Ho 0.856 0.101 0.352
10 Ho 0.899 0.356 0.852
11 Tl 0.047 0.603 0.657
12 Tl 0.103 0.953 0.157
13 Tl 0.397 0.547 0.157
14 Tl 0.453 0.897 0.657
15 Tl 0.547 0.103 0.343
16 Tl 0.603 0.453 0.843
17 Tl 0.897 0.047 0.843
18 Tl 0.953 0.397 0.343

***

An optimized crystal structure of SrHo3Tl2, computed with PBE.

ρ	8.65	g/cm³
E_form	-0.1365	eV per atom

Unit cell a=8.837 b=8.837 c=9.340 alpha=116.36 beta=116.36 gamma=36.16
Fractional positions:
1 Sr 0.132 0.132 0.186
2 Sr 0.868 0.868 0.814
3 Ho 0.063 0.063 0.711
4 Ho 0.307 0.307 0.016
5 Ho 0.387 0.387 0.472
6 Ho 0.613 0.613 0.528
7 Ho 0.693 0.693 0.984
8 Ho 0.937 0.937 0.289
9 Tl 0.223 0.223 0.615
10 Tl 0.490 0.490 0.832
11 Tl 0.510 0.510 0.168
12 Tl 0.777 0.777 0.385

***

One value per record, in order, for total DFT energy (no corrections): -3.79, -4.31, -4.78, -4.36, -4.06, -4.95, -5.13, -4.78, -4.47, -4.37, -4.38, -3.12, -3.35, -2.71, -2.95, -2.87, -2.78, -3.43, -3.40, -3.49 eV/atom.